# 1
# AcY12Tm7 PBE-GGA optimized geometry
data_AcY12Tm7
_chemical_formula_sum 'Ac3 Y36 Tm21'
_space_group_name_H-M_alt 'R -3'
_space_group_IT_number 148
_space_group_name_Hall '-R 3'
_cell_length_a 12.1496
_cell_length_b 12.1496
_cell_length_c 15.6040
_cell_angle_alpha 90.00
_cell_angle_beta 90.00
_cell_angle_gamma 120.00
loop_
_atom_site_label
_atom_site_fract_x
_atom_site_fract_y
_atom_site_fract_z
Ac1 0.0000 0.0000 0.0000
Y1 0.0096 0.4406 0.7112
Y2 0.0545 0.5883 0.0865
Tm1 0.0000 0.0000 0.5000
Tm2 0.0458 0.1882 0.8000
# size of the total moment = 0.00 μB per cell
# energy relative to the lowest polymorph listed for this composition = 0 meV per atom
# E = -324.11 eV per cell

***

# 2
# Sm12DyEr6 PBE-GGA optimized geometry
data_Sm12DyEr6
_chemical_formula_sum 'Sm36 Dy3 Er18'
_space_group_name_H-M_alt 'R -3'
_space_group_IT_number 148
_space_group_name_Hall '-R 3'
_cell_length_a 12.0234
_cell_length_b 12.0234
_cell_length_c 15.1795
_cell_angle_alpha 90.00
_cell_angle_beta 90.00
_cell_angle_gamma 120.00
loop_
_atom_site_label
_atom_site_fract_x
_atom_site_fract_y
_atom_site_fract_z
Sm1 0.0047 0.1751 0.1914
Sm2 0.0459 0.1961 0.4163
Dy1 0.0000 0.0000 0.0000
Er1 0.0145 0.5877 0.6861
# size of the total moment = 0.00 μB per cell
# energy relative to the lowest polymorph listed for this composition = 0 meV per atom
# E = -257.74 eV per cell

***

# 3
# UAgAuO5 PBE-GGA optimized geometry
data_UAgAuO5
_chemical_formula_sum 'U4 Ag4 Au4 O20'
_space_group_name_H-M_alt 'C 1 2/c 1'
_space_group_IT_number 15
_cell_length_a 6.3813
_cell_length_b 9.6466
_cell_length_c 8.2916
_cell_angle_alpha 90.00
_cell_angle_beta 106.77
_cell_angle_gamma 90.00
loop_
_space_group_symop_operation_xyz
'x,y,z'
'-x,-y,-z'
'-x,y,-z+1/2'
'x,-y,z+1/2'
'x+1/2,y+1/2,z'
'-x+1/2,-y+1/2,-z'
'-x+1/2,y+1/2,-z+1/2'
'x+1/2,-y+1/2,z+1/2'
loop_
_atom_site_label
_atom_site_fract_x
_atom_site_fract_y
_atom_site_fract_z
U1 0.0000 0.0000 0.0000
Ag1 0.0000 0.3004 0.2500
Au1 0.0000 0.3459 0.7500
O1 0.0000 0.0735 0.2500
O2 0.0465 0.1916 0.9240
O3 0.1529 0.4959 0.4024
# size of the total moment = 0.00 μB per cell
# raw formation energy = -1435 meV/atom
# E = -214.75 eV per cell

***

# 4
# CeSmCu2Si2 PBE-GGA optimized geometry
data_CeSmCu2Si2
_chemical_formula_sum 'Ce1 Sm1 Cu2 Si2'
_space_group_name_H-M_alt 'P -3 m 1'
_space_group_IT_number 164
_space_group_name_Hall '-P 3 2"'
_cell_length_a 4.1625
_cell_length_b 4.1625
_cell_length_c 7.9042
_cell_angle_alpha 90.00
_cell_angle_beta 90.00
_cell_angle_gamma 120.00
loop_
_atom_site_label
_atom_site_fract_x
_atom_site_fract_y
_atom_site_fract_z
Ce1 0.0000 0.0000 0.0000
Sm1 0.0000 0.0000 0.5000
Cu1 0.3333 0.6667 0.2491
Si1 0.3333 0.6667 0.7522
# size of the total moment = 0.89 μB per cell
# raw formation energy = -603 meV/atom
# E = -33.31 eV per cell

***

# 5
# Y2ScP2 PBE-GGA optimized geometry
data_Y2ScP2
_chemical_formula_sum 'Y4 Sc2 P4'
_space_group_name_H-M_alt 'P 4/m b m'
_space_group_IT_number 127
_space_group_name_Hall '-P 4 2ab'
_cell_length_a 7.3675
_cell_length_b 7.3675
_cell_length_c 3.8999
_cell_angle_alpha 90.00
_cell_angle_beta 90.00
_cell_angle_gamma 90.00
loop_
_atom_site_label
_atom_site_fract_x
_atom_site_fract_y
_atom_site_fract_z
Y1 0.1560 0.3440 0.0000
Sc1 0.0000 0.0000 0.5000
P1 0.1532 0.6532 0.5000
# size of the total moment = 0.00 μB per cell
# energy relative to the lowest polymorph listed for this composition = 0 meV per atom
# E = -72.82 eV per cell

***

# 6
# Na5ScTl6 PBE-GGA optimized geometry
data_Na5ScTl6
_chemical_formula_sum 'Na10 Sc2 Tl12'
_space_group_name_H-M_alt 'C 1 2/m 1'
_space_group_IT_number 12
_cell_length_a 16.5796
_cell_length_b 7.7513
_cell_length_c 5.2786
_cell_angle_alpha 90.00
_cell_angle_beta 107.45
_cell_angle_gamma 90.00
loop_
_space_group_symop_operation_xyz
'x,y,z'
'-x,-y,-z'
'-x,y,-z'
'x,-y,z'
'x+1/2,y+1/2,z'
'-x+1/2,-y+1/2,-z'
'-x+1/2,y+1/2,-z'
'x+1/2,-y+1/2,z'
loop_
_atom_site_label
_atom_site_fract_x
_atom_site_fract_y
_atom_site_fract_z
Na1 0.0000 0.0000 0.0000
Na2 0.1604 0.0000 0.6570
Na3 0.1797 0.5000 0.6745
Sc1 0.0000 0.5000 0.0000
Tl1 0.0000 0.2803 0.5000
Tl2 0.1609 0.2643 0.1550
# size of the total moment = 0.00 μB per cell
# E = -57.05 eV per cell